Record 1
First-principles (PBE) data for CsScFeCl6 after structural relaxation, as listed in Alexandria.

**Formation energy (no corrections)**: -1.6382 eV per atom

a = 6.5461 Å, b = 11.3337 Å, c = 7.8426 Å
α = 90.00°, β = 90.06°, γ = 90.00°
Space group C2 (No. 5)
One atom of each set of equivalent atoms:
Cs: 0.0000 0.0000 0.0000
Sc: 0.0000 0.3336 0.5000
Fe: 0.0000 0.6668 0.5000
Cl: 0.1201 0.5008 0.6840
Cl: 0.1875 0.8107 0.6825
Cl: 0.1902 0.1878 0.6820

***

Record 2
First-principles (PBE) data for CuSiSO after structural relaxation, as listed in Alexandria.

**Offset from the most stable computed form**: 31 meV per atom
**Formation energy (no corrections)**: -1.0696 eV per atom

a = 5.0824 Å, b = 5.7608 Å, c = 5.7913 Å
α = 73.41°, β = 89.09°, γ = 64.29°
Space group P1 (No. 1)
One atom of each set of equivalent atoms:
Cu: 0.0000 0.0000 0.0000
Cu: 0.3807 0.6312 0.9370
Si: 0.1341 0.9709 0.5837
Si: 0.4765 0.2963 0.5347
S: 0.3815 0.7063 0.3271
S: 0.5236 0.2219 0.9186
O: 0.2171 0.2262 0.4590
O: 0.7872 0.0937 0.4600

***

Record 3
First-principles (PBE) data for Tb3Er4Sc2 after structural relaxation, as listed in Alexandria.

**Formation enthalpy at 0 K**: 0.122 eV per atom
**Offset from the most stable computed form**: 21 meV per atom

a = 13.5276 Å, b = 13.2340 Å, c = 6.3270 Å
α = 90.00°, β = 106.97°, γ = 90.00°
Space group C2/c (No. 15)
One atom of each set of equivalent atoms:
Tb: 0.0000 0.0407 0.2500
Tb: 0.1002 0.4276 0.9783
Er: 0.1228 0.2955 0.4962
Er: 0.1344 0.1815 0.9919
Sc: 0.2058 0.0473 0.6286